Entry 1:
PBE SrNdY, relaxed; formation energy from the elements = 0.1205 eV per atom; symmetry = P3m1; volume = 38.7 Å³/atom; magnetization = 0.000 μB per formula unit
1.0
3.779 0.000 0.000
-1.889 3.273 0.000
0.000 0.000 9.394
Nd Sr Y
1 1 1
direct
0.333 0.667 0.646
0.000 0.000 0.004
0.667 0.333 0.351

=====

Entry 2:
PBE La4GaGeCl2, relaxed; E_form (uncorrected) = -930 kJ/mol of formula units; symmetry = P2/m; volume = 28.9 Å³/atom; magnetization = 0.000 μB per formula unit
1.0
-0.707 -3.691 -2.291
5.752 -3.100 3.221
-2.143 -3.605 6.469
La Cl Ge Ga
4 2 1 1
direct
0.000 0.257 0.251
0.500 0.260 0.746
0.000 0.743 0.749
0.500 0.740 0.254
0.500 0.000 0.500
0.000 0.000 0.000
0.000 0.500 0.500
0.500 0.500 0.000